# 1
Here is a relaxed structure of Zr2Pa from OQMD. Energies are from PBE-GGA.

Computed properties:
formation enthalpy at 0 K = 0.07 eV per atom
calculated total energy = -26.39 eV per formula unit
energy above the lowest structure with this stoichiometry = 0.042 eV per atom
density = 9727 kg/m3
crystal system = orthorhombic
magnetization = 0.003 μB per formula unit

CIF file:
```
data_Zr2Pa
_cell_length_a 5.411
_cell_length_b 9.756
_cell_length_c 5.349
_cell_angle_alpha 90.00
_cell_angle_beta 90.00
_cell_angle_gamma 90.00
_symmetry_space_group_name_H-M 'P m m n'
_symmetry_Int_Tables_number 59
loop_
_symmetry_equiv_pos_as_xyz
'x,y,z'
'-x,-y,-z'
'-x+1/2,-y+1/2,z'
'x+1/2,y+1/2,-z'
'x+1/2,-y,-z'
'-x+1/2,y,z'
'-x,y+1/2,-z'
'x,-y+1/2,z'
loop_
_atom_site_label
_atom_site_type_symbol
_atom_site_fract_x
_atom_site_fract_y
_atom_site_fract_z
Zr1 Zr 0.250 0.080 0.005
Zr2 Zr 0.250 0.250 0.505
Zr3 Zr 0.250 0.750 0.007
Pa1 Pa 0.250 0.581 0.506
```

=====

# 2
Here is a relaxed structure of Zr2Pa from OQMD. Energies are from PBE-GGA.

Computed properties:
formation enthalpy at 0 K = 0.08 eV per atom
calculated total energy = -26.35 eV per formula unit
energy above the lowest structure with this stoichiometry = 0.054 eV per atom
density = 9639 kg/m3
crystal system = monoclinic
magnetization = 0.004 μB per formula unit

CIF file:
```
data_Zr2Pa
_cell_length_a 8.779
_cell_length_b 5.328
_cell_length_c 12.380
_cell_angle_alpha 90.00
_cell_angle_beta 100.25
_cell_angle_gamma 90.00
_symmetry_space_group_name_H-M 'P 1 21/m 1'
_symmetry_Int_Tables_number 11
_symmetry_space_group_name_Hall '-P 2yb'
loop_
_atom_site_label
_atom_site_type_symbol
_atom_site_fract_x
_atom_site_fract_y
_atom_site_fract_z
Zr1 Zr 0.074 0.250 0.077
Zr2 Zr 0.079 0.250 0.323
Zr3 Zr 0.079 0.250 0.574
Zr4 Zr 0.088 0.250 0.828
Zr5 Zr 0.249 0.750 0.087
Zr6 Zr 0.251 0.750 0.343
Zr7 Zr 0.412 0.250 0.001
Zr8 Zr 0.415 0.250 0.486
Pa1 Pa 0.253 0.750 0.603
Pa2 Pa 0.253 0.750 0.829
Pa3 Pa 0.404 0.250 0.241
Pa4 Pa 0.424 0.250 0.744
```

=====

# 3
Here is a relaxed structure of Zr3Pa from OQMD. Energies are from PBE-GGA.

Computed properties:
formation enthalpy at 0 K = 0.14 eV per atom
calculated total energy = -34.58 eV per formula unit
energy above the lowest structure with this stoichiometry = 0.080 eV per atom
density = 8769 kg/m3
crystal system = hexagonal
magnetization = 0.019 μB per formula unit

CIF file:
```
data_Zr3Pa
_cell_length_a 6.3612
_cell_length_b 6.3612
_cell_length_c 5.4549
_cell_angle_alpha 90.00
_cell_angle_beta 90.00
_cell_angle_gamma 120.00
_symmetry_space_group_name_H-M 'P 63/m m c'
_symmetry_Int_Tables_number 194
_symmetry_space_group_name_Hall '-P 6c 2c'
loop_
_atom_site_label
_atom_site_type_symbol
_atom_site_fract_x
_atom_site_fract_y
_atom_site_fract_z
Zr1 Zr 0.1629 0.3257 0.2500
Pa1 Pa 0.3333 0.6667 0.7500
```

=====

# 4
Here is a relaxed structure of ZrPa from OQMD. Energies are from PBE-GGA.

Computed properties:
formation enthalpy at 0 K = 0.05 eV per atom
calculated total energy = -17.95 eV per formula unit
energy above the lowest structure with this stoichiometry = 0.022 eV per atom
density = 11101 kg/m3
crystal system = orthorhombic
magnetization = 0.002 μB per formula unit

CIF file:
```
data_ZrPa
_cell_length_a 5.222
_cell_length_b 3.108
_cell_length_c 5.940
_cell_angle_alpha 90.00
_cell_angle_beta 90.00
_cell_angle_gamma 90.00
_symmetry_space_group_name_H-M 'P m m a'
_symmetry_Int_Tables_number 51
_symmetry_space_group_name_Hall '-P 2a 2a'
loop_
_atom_site_label
_atom_site_type_symbol
_atom_site_fract_x
_atom_site_fract_y
_atom_site_fract_z
Zr1 Zr 0.250 0.000 0.128
Pa1 Pa 0.250 0.500 0.621
```

=====

# 5
Here is a relaxed structure of ZrPa from OQMD. Energies are from PBE-GGA.

Computed properties:
formation enthalpy at 0 K = 0.08 eV per atom
calculated total energy = -17.89 eV per formula unit
energy above the lowest structure with this stoichiometry = 0.051 eV per atom
density = 11128 kg/m3
crystal system = monoclinic
magnetization = 0.002 μB per formula unit

CIF file:
```
data_ZrPa
_cell_length_a 6.197
_cell_length_b 5.439
_cell_length_c 8.707
_cell_angle_alpha 90.00
_cell_angle_beta 100.48
_cell_angle_gamma 90.00
_symmetry_space_group_name_H-M 'P 1 21/m 1'
_symmetry_Int_Tables_number 11
_symmetry_space_group_name_Hall '-P 2yb'
loop_
_atom_site_label
_atom_site_type_symbol
_atom_site_fract_x
_atom_site_fract_y
_atom_site_fract_z
Zr1 Zr 0.149 0.250 0.076
Zr2 Zr 0.323 0.250 0.751
Zr3 Zr 0.345 0.750 0.920
Pa1 Pa 0.010 0.750 0.587
Pa2 Pa 0.180 0.750 0.259
Pa3 Pa 0.471 0.250 0.414
```

=====

# 6
Here is a relaxed structure of ZrPa from OQMD. Energies are from PBE-GGA.

Computed properties:
formation enthalpy at 0 K = 0.09 eV per atom
calculated total energy = -17.86 eV per formula unit
energy above the lowest structure with this stoichiometry = 0.066 eV per atom
density = 11132 kg/m3
crystal system = orthorhombic
magnetization = 0.005 μB per formula unit

CIF file:
```
data_ZrPa
_cell_length_a 5.477
_cell_length_b 5.431
_cell_length_c 6.465
_cell_angle_alpha 90.00
_cell_angle_beta 90.00
_cell_angle_gamma 90.00
_symmetry_space_group_name_H-M 'P n m a'
_symmetry_Int_Tables_number 62
_symmetry_space_group_name_Hall '-P 2ac 2n'
loop_
_atom_site_label
_atom_site_type_symbol
_atom_site_fract_x
_atom_site_fract_y
_atom_site_fract_z
Zr1 Zr 0.027 0.250 0.124
Pa1 Pa 0.039 0.250 0.624
```

=====

# 7
Here is a relaxed structure of Zr3Pa from OQMD. Energies are from PBE-GGA.

Computed properties:
formation enthalpy at 0 K = 0.10 eV per atom
calculated total energy = -34.75 eV per formula unit
energy above the lowest structure with this stoichiometry = 0.037 eV per atom
density = 8846 kg/m3
crystal system = orthorhombic
magnetization = 0.013 μB per formula unit

CIF file:
```
data_Zr3Pa
_cell_length_a 5.337
_cell_length_b 6.242
_cell_length_c 5.688
_cell_angle_alpha 90.00
_cell_angle_beta 90.00
_cell_angle_gamma 90.00
_symmetry_space_group_name_H-M 'P m m n'
_symmetry_Int_Tables_number 59
loop_
_symmetry_equiv_pos_as_xyz
'x,y,z'
'-x,-y,-z'
'-x+1/2,-y+1/2,z'
'x+1/2,y+1/2,-z'
'x+1/2,-y,-z'
'-x+1/2,y,z'
'-x,y+1/2,-z'
'x,-y+1/2,z'
loop_
_atom_site_label
_atom_site_type_symbol
_atom_site_fract_x
_atom_site_fract_y
_atom_site_fract_z
Zr1 Zr 0.250 0.008 0.137
Zr2 Zr 0.250 0.750 0.636
Pa1 Pa 0.250 0.250 0.627
```

=====

# 8
Here is a relaxed structure of ZrPa from OQMD. Energies are from PBE-GGA.

Computed properties:
formation enthalpy at 0 K = 0.07 eV per atom
calculated total energy = -17.89 eV per formula unit
energy above the lowest structure with this stoichiometry = 0.048 eV per atom
density = 11117 kg/m3
crystal system = monoclinic
magnetization = 0.003 μB per formula unit

CIF file:
```
data_ZrPa
_cell_length_a 6.509
_cell_length_b 5.408
_cell_length_c 8.461
_cell_angle_alpha 90.00
_cell_angle_beta 104.15
_cell_angle_gamma 90.00
_symmetry_space_group_name_H-M 'P 1 21/m 1'
_symmetry_Int_Tables_number 11
_symmetry_space_group_name_Hall '-P 2yb'
loop_
_atom_site_label
_atom_site_type_symbol
_atom_site_fract_x
_atom_site_fract_y
_atom_site_fract_z
Zr1 Zr 0.025 0.250 0.394
Zr2 Zr 0.175 0.250 0.050
Zr3 Zr 0.326 0.750 0.950
Pa1 Pa 0.179 0.750 0.288
Pa2 Pa 0.330 0.250 0.724
Pa3 Pa 0.472 0.750 0.602
```